No. 1
Compound: TcPbAu2
Source: Alexandria via LeMat-Bulk
Functional: PBE
Structure: optimized geometry

abc: 4.7460 4.7460 4.7460
angles: 60.00 60.00 60.00
Last column: nearest neighbours and their distance in Å.
Fractional coordinates of all 4 atoms:
Tc 0.0000 0.0000 0.0000  4 Pb 2.91, 4 Au 2.91
Pb 0.7500 0.7500 0.7500  4 Tc 2.91, 4 Au 2.91
Au 0.2500 0.2500 0.2500  4 Tc 2.91, 4 Au 2.91
Au 0.5000 0.5000 0.5000  4 Pb 2.91, 4 Au 2.91

Calculated values
formation energy from the elements: 0.520 eV/atom
space group: No. 216

No. 2
Compound: Ce2Ta2N5
Source: Alexandria via LeMat-Bulk
Functional: PBE
Structure: optimized geometry

abc: 6.0872 6.0872 6.5208
angles: 107.85 107.85 32.69
Last column: nearest neighbours and their distance in Å.
Fractional coordinates of all 9 atoms:
Ce 0.1733 0.1733 0.2128  8 N 2.44-2.71
Ce 0.8267 0.8267 0.7872  8 N 2.44-2.71
Ta 0.4406 0.4406 0.2667  5 N 2.04-2.15
Ta 0.5594 0.5594 0.7333  5 N 2.04-2.15
N 0.1592 0.1592 0.8311  2 Ta 2.06
N 0.3822 0.3822 0.5479  2 Ta 2.04-2.15
N 0.5000 0.5000 0.0000  2 Ta 2.07
N 0.6178 0.6178 0.4521  2 Ta 2.04-2.15
N 0.8408 0.8408 0.1689  2 Ta 2.06

Calculated values
offset from the most stable computed form: 4.1 kJ per mole of atoms
space group: No. 12
formation energy without anion corrections: -11.26 eV per formula unit

No. 3
Compound: La3NdZn3
Source: Alexandria via LeMat-Bulk
Functional: PBE
Structure: optimized geometry

abc: 7.4457 7.4457 7.3376
angles: 90.00 90.00 91.04
Last column: nearest neighbours and their distance in Å.
Fractional coordinates of all 14 atoms:
La 0.2485 0.7515 0.0000  6 Zn 3.21
La 0.2550 0.2550 0.5000  6 Zn 3.21-3.23
La 0.2560 0.2560 0.0000  6 Zn 3.24-3.25
La 0.7440 0.7440 0.0000  6 Zn 3.24-3.25
La 0.7450 0.7450 0.5000  6 Zn 3.21-3.23
La 0.7515 0.2485 0.0000  6 Zn 3.21
Nd 0.2420 0.7580 0.5000  6 Zn 3.16-3.17
Nd 0.7580 0.2420 0.5000  6 Zn 3.16-3.17
Zn 0.0000 0.0000 0.2495  2 Nd 3.16, 6 La 3.21-3.24
Zn 0.0000 0.0000 0.7505  2 Nd 3.16, 6 La 3.21-3.24
Zn 0.0000 0.5000 0.2546  2 Nd 3.17, 6 La 3.21-3.25
Zn 0.0000 0.5000 0.7454  2 Nd 3.17, 6 La 3.21-3.25
Zn 0.5000 0.0000 0.2546  2 Nd 3.17, 6 La 3.21-3.25
Zn 0.5000 0.0000 0.7454  2 Nd 3.17, 6 La 3.21-3.25

Calculated values
formation energy from the elements: -0.196 eV/atom
space group: No. 65

No. 4
Compound: Sm3YHo2Er6
Source: Alexandria via LeMat-Bulk
Functional: PBE
Structure: optimized geometry

abc: 6.1433 6.1433 11.7227
angles: 95.00 95.00 119.96
Last column: nearest neighbours and their distance in Å.
Fractional coordinates of all 12 atoms:
Sm 0.0000 0.0000 0.0000  6 Sm 3.55, 6 Er 3.56
Sm 0.3332 0.6668 0.0000  6 Sm 3.55, 6 Er 3.56
Sm 0.6668 0.3332 0.0000  6 Sm 3.55, 6 Er 3.56
Y 0.5000 0.5000 0.5000  6 Er 3.52, 6 Ho 3.55
Ho 0.1666 0.8334 0.5000  6 Er 3.52, 3 Ho 3.54-3.55, 3 Y 3.55
Ho 0.8334 0.1666 0.5000  6 Er 3.52, 3 Ho 3.54-3.55, 3 Y 3.55
Er 0.0830 0.4172 0.2522  2 Ho 3.52, 1 Y 3.52, 6 Er 3.54-3.56, 3 Sm 3.56
Er 0.2487 0.2487 0.7480  2 Ho 3.52, 1 Y 3.52, 6 Er 3.54-3.56, 3 Sm 3.56
Er 0.4172 0.0830 0.2522  2 Ho 3.52, 1 Y 3.52, 6 Er 3.54-3.56, 3 Sm 3.56
Er 0.5828 0.9170 0.7478  2 Ho 3.52, 1 Y 3.52, 6 Er 3.54-3.56, 3 Sm 3.56
Er 0.7513 0.7513 0.2520  2 Ho 3.52, 1 Y 3.52, 6 Er 3.54-3.56, 3 Sm 3.56
Er 0.9170 0.5828 0.7478  2 Ho 3.52, 1 Y 3.52, 6 Er 3.54-3.56, 3 Sm 3.56

Calculated values
formation energy from the elements: 0.021 eV/atom
space group: No. 12